# ReSiOs PBE-GGA optimized geometry
data_ReSiOs
_space_group_name_H-M_alt 'P -6 m 2'
_space_group_IT_number 187
_space_group_name_Hall 'P -6 2'
_cell_length_a 4.1714
_cell_length_b 4.1714
_cell_length_c 2.7793
_cell_angle_alpha 90.00
_cell_angle_beta 90.00
_cell_angle_gamma 120.00
loop_
_atom_site_label
_atom_site_type_symbol
_atom_site_fract_x
_atom_site_fract_y
_atom_site_fract_z
Re1 Re 0.0000 0.0000 0.0000
Si1 Si 0.6667 0.3333 0.5000
Os1 Os 0.3333 0.6667 0.5000
# magnetization = 0.0 μB/cell
# electronic total energy = -9.780 eV/atom
# polymorph energy (0 for the lowest one) = 76 meV per atom
# volume = 42 Å³ per cell

---

# NdTaAs2 PBE-GGA optimized geometry
data_NdTaAs2
_space_group_name_H-M_alt 'R -3 m'
_space_group_IT_number 166
_space_group_name_Hall '-R 3 2"'
_cell_length_a 3.9549
_cell_length_b 3.9549
_cell_length_c 19.5436
_cell_angle_alpha 90.00
_cell_angle_beta 90.00
_cell_angle_gamma 120.00
loop_
_atom_site_label
_atom_site_type_symbol
_atom_site_fract_x
_atom_site_fract_y
_atom_site_fract_z
Nd1 Nd 0.0000 0.0000 0.0000
Ta1 Ta 0.0000 0.0000 0.5000
As1 As 0.0000 0.0000 0.2379
# magnetization = 0.0 μB/cell
# electronic total energy = -7.283 eV/atom
# formation energy = -803 meV/atom
# volume = 265 Å³ per cell

---

# MgOs2Pb PBE-GGA optimized geometry
data_MgOs2Pb
_space_group_name_H-M_alt 'C m m m'
_space_group_IT_number 65
_space_group_name_Hall '-C 2 2'
_cell_length_a 2.9835
_cell_length_b 4.8933
_cell_length_c 9.8582
_cell_angle_alpha 90.00
_cell_angle_beta 90.00
_cell_angle_gamma 90.00
loop_
_atom_site_label
_atom_site_type_symbol
_atom_site_fract_x
_atom_site_fract_y
_atom_site_fract_z
Mg1 Mg 0.0000 0.0000 0.0000
Os1 Os 0.0000 0.5000 0.2262
Pb1 Pb 0.0000 0.0000 0.5000
# magnetization = 0.0 μB/cell
# electronic total energy = -6.037 eV/atom
# formation energy = 903 meV/atom
# volume = 144 Å³ per cell

---

# Ba4NaTl3 PBE-GGA optimized geometry
data_Ba4NaTl3
_space_group_name_H-M_alt 'P 4/m m m'
_space_group_IT_number 123
_space_group_name_Hall '-P 4 2'
_cell_length_a 6.1137
_cell_length_b 6.1137
_cell_length_c 8.7669
_cell_angle_alpha 90.00
_cell_angle_beta 90.00
_cell_angle_gamma 90.00
loop_
_atom_site_label
_atom_site_type_symbol
_atom_site_fract_x
_atom_site_fract_y
_atom_site_fract_z
Ba1 Ba 0.0000 0.5000 0.2386
Na1 Na 0.0000 0.0000 0.5000
Tl1 Tl 0.0000 0.0000 0.0000
Tl2 Tl 0.5000 0.5000 0.0000
Tl3 Tl 0.5000 0.5000 0.5000
# magnetization = 0.0 μB/cell
# electronic total energy = -2.329 eV/atom
# formation energy = -316 meV/atom
# volume = 328 Å³ per cell

---

# Pm3Pr5Er4 PBE-GGA optimized geometry
data_Pm3Pr5Er4
_space_group_name_H-M_alt 'C 1 2/m 1'
_space_group_IT_number 12
_cell_length_a 9.8040
_cell_length_b 5.9048
_cell_length_c 15.1910
_cell_angle_alpha 90.00
_cell_angle_beta 108.73
_cell_angle_gamma 90.00
loop_
_space_group_symop_operation_xyz
'x,y,z'
'-x,-y,-z'
'-x,y,-z'
'x,-y,z'
'x+1/2,y+1/2,z'
'-x+1/2,-y+1/2,-z'
'-x+1/2,y+1/2,-z'
'x+1/2,-y+1/2,z'
loop_
_atom_site_label
_atom_site_type_symbol
_atom_site_fract_x
_atom_site_fract_y
_atom_site_fract_z
Pm1 Pm 0.0000 0.0000 0.0000
Pm2 Pm 0.2046 0.5000 0.2495
Pr1 Pr 0.0000 0.5000 0.0000
Pr2 Pr 0.0444 0.0000 0.2490
Pr3 Pr 0.1695 0.0000 0.5000
Er1 Er 0.0614 0.5000 0.6228
Er2 Er 0.1760 0.5000 0.8523
# magnetization = 0.0 μB/cell
# electronic total energy = -4.483 eV/atom
# formation energy = 217 meV/atom
# volume = 833 Å³ per cell

---

# K3TeIr PBE-GGA optimized geometry
data_K3TeIr
_space_group_name_H-M_alt 'P m -3 m'
_space_group_IT_number 221
_space_group_name_Hall '-P 4 2 3'
_cell_length_a 6.0537
_cell_length_b 6.0537
_cell_length_c 6.0537
_cell_angle_alpha 90.00
_cell_angle_beta 90.00
_cell_angle_gamma 90.00
loop_
_atom_site_label
_atom_site_type_symbol
_atom_site_fract_x
_atom_site_fract_y
_atom_site_fract_z
K1 K 0.0000 0.0000 0.5000
Te1 Te 0.5000 0.5000 0.5000
Ir1 Ir 0.0000 0.0000 0.0000
# magnetization = 2.0 μB/cell
# electronic total energy = -2.635 eV/atom
# volume = 222 Å³ per cell

---

# La2CdIn2 PBE-GGA optimized geometry
data_La2CdIn2
_space_group_name_H-M_alt 'C 1 2/m 1'
_space_group_IT_number 12
_cell_length_a 11.6999
_cell_length_b 4.9746
_cell_length_c 11.5554
_cell_angle_alpha 90.00
_cell_angle_beta 116.73
_cell_angle_gamma 90.00
loop_
_space_group_symop_operation_xyz
'x,y,z'
'-x,-y,-z'
'-x,y,-z'
'x,-y,z'
'x+1/2,y+1/2,z'
'-x+1/2,-y+1/2,-z'
'-x+1/2,y+1/2,-z'
'x+1/2,-y+1/2,z'
loop_
_atom_site_label
_atom_site_type_symbol
_atom_site_fract_x
_atom_site_fract_y
_atom_site_fract_z
La1 La 0.0200 0.0000 0.3349
La2 La 0.1751 0.0000 0.0919
Cd1 Cd 0.2244 0.5000 0.3441
In1 In 0.0248 0.5000 0.8807
In2 In 0.1399 0.5000 0.5690
# magnetization = 1.3 μB/cell
# electronic total energy = -3.722 eV/atom
# formation energy = -473 meV/atom
# polymorph energy (0 for the lowest one) = 0 meV per atom
# volume = 601 Å³ per cell

---

# Pa2CrSn PBE-GGA optimized geometry
data_Pa2CrSn
_space_group_name_H-M_alt 'P 4/m m m'
_space_group_IT_number 123
_space_group_name_Hall '-P 4 2'
_cell_length_a 4.3271
_cell_length_b 4.3271
_cell_length_c 4.6898
_cell_angle_alpha 90.00
_cell_angle_beta 90.00
_cell_angle_gamma 90.00
loop_
_atom_site_label
_atom_site_type_symbol
_atom_site_fract_x
_atom_site_fract_y
_atom_site_fract_z
Pa1 Pa 0.0000 0.5000 0.0000
Cr1 Cr 0.0000 0.0000 0.5000
Sn1 Sn 0.5000 0.5000 0.5000
# magnetization = 2.1 μB/cell
# electronic total energy = -8.132 eV/atom
# formation energy = 22 meV/atom
# polymorph energy (0 for the lowest one) = 0 meV per atom
# volume = 88 Å³ per cell

---

# Sm2Ho3In2 PBE-GGA optimized geometry
data_Sm2Ho3In2
_space_group_name_H-M_alt 'C 1 2/m 1'
_space_group_IT_number 12
_cell_length_a 9.3703
_cell_length_b 5.4191
_cell_length_c 8.6603
_cell_angle_alpha 90.00
_cell_angle_beta 111.22
_cell_angle_gamma 90.00
loop_
_space_group_symop_operation_xyz
'x,y,z'
'-x,-y,-z'
'-x,y,-z'
'x,-y,z'
'x+1/2,y+1/2,z'
'-x+1/2,-y+1/2,-z'
'-x+1/2,y+1/2,-z'
'x+1/2,-y+1/2,z'
loop_
_atom_site_label
_atom_site_type_symbol
_atom_site_fract_x
_atom_site_fract_y
_atom_site_fract_z
Sm1 Sm 0.0769 0.0000 0.2305
Ho1 Ho 0.0000 0.5000 0.5000
Ho2 Ho 0.1528 0.5000 0.9582
In1 In 0.2171 0.0000 0.6512
# magnetization = 0.0 μB/cell
# electronic total energy = -4.365 eV/atom
# formation energy = -272 meV/atom
# volume = 410 Å³ per cell

---

# CrCd2WBr PBE-GGA optimized geometry
data_CrCd2WBr
_space_group_name_H-M_alt 'P 4/m m m'
_space_group_IT_number 123
_space_group_name_Hall '-P 4 2'
_cell_length_a 5.4885
_cell_length_b 5.4885
_cell_length_c 4.7418
_cell_angle_alpha 90.00
_cell_angle_beta 90.00
_cell_angle_gamma 90.00
loop_
_atom_site_label
_atom_site_type_symbol
_atom_site_fract_x
_atom_site_fract_y
_atom_site_fract_z
Cr1 Cr 0.0000 0.0000 0.0000
Cd1 Cd 0.0000 0.5000 0.5000
W1 W 0.5000 0.5000 0.5000
Br1 Br 0.5000 0.5000 0.0000
# magnetization = 4.7 μB/cell
# electronic total energy = -3.989 eV/atom
# volume = 143 Å³ per cell

---

# KLaI2O PBE-GGA optimized geometry
data_KLaI2O
_space_group_name_H-M_alt 'P 4/m m m'
_space_group_IT_number 123
_space_group_name_Hall '-P 4 2'
_cell_length_a 6.1058
_cell_length_b 6.1058
_cell_length_c 4.4000
_cell_angle_alpha 90.00
_cell_angle_beta 90.00
_cell_angle_gamma 90.00
loop_
_atom_site_label
_atom_site_type_symbol
_atom_site_fract_x
_atom_site_fract_y
_atom_site_fract_z
K1 K 0.0000 0.0000 0.0000
La1 La 0.5000 0.5000 0.5000
I1 I 0.0000 0.5000 0.0000
O1 O 0.0000 0.0000 0.5000
# magnetization = 0.7 μB/cell
# electronic total energy = -3.344 eV/atom
# polymorph energy (0 for the lowest one) = 1433 meV per atom
# volume = 164 Å³ per cell

---

# KTiSb2 PBE-GGA optimized geometry
data_KTiSb2
_space_group_name_H-M_alt 'P 4/m m m'
_space_group_IT_number 123
_space_group_name_Hall '-P 4 2'
_cell_length_a 3.4875
_cell_length_b 3.4875
_cell_length_c 8.7568
_cell_angle_alpha 90.00
_cell_angle_beta 90.00
_cell_angle_gamma 90.00
loop_
_atom_site_label
_atom_site_type_symbol
_atom_site_fract_x
_atom_site_fract_y
_atom_site_fract_z
K1 K 0.0000 0.0000 0.0000
Ti1 Ti 0.0000 0.0000 0.5000
Sb1 Sb 0.5000 0.5000 0.3107
# magnetization = 0.8 μB/cell
# electronic total energy = -4.621 eV/atom
# polymorph energy (0 for the lowest one) = 0 meV per atom
# volume = 107 Å³ per cell

---

# CsNaTl2In PBE-GGA optimized geometry
data_CsNaTl2In
_space_group_name_H-M_alt 'P 4/m m m'
_space_group_IT_number 123
_space_group_name_Hall '-P 4 2'
_cell_length_a 6.0850
_cell_length_b 6.0850
_cell_length_c 6.0207
_cell_angle_alpha 90.00
_cell_angle_beta 90.00
_cell_angle_gamma 90.00
loop_
_atom_site_label
_atom_site_type_symbol
_atom_site_fract_x
_atom_site_fract_y
_atom_site_fract_z
Cs1 Cs 0.0000 0.0000 0.0000
Na1 Na 0.5000 0.5000 0.0000
Tl1 Tl 0.0000 0.5000 0.5000
In1 In 0.5000 0.5000 0.5000
# magnetization = 0.0 μB/cell
# electronic total energy = -1.888 eV/atom
# formation energy = 41 meV/atom
# volume = 223 Å³ per cell

---

# InCo3B PBE-GGA optimized geometry
data_InCo3B
_space_group_name_H-M_alt 'P m -3 m'
_space_group_IT_number 221
_space_group_name_Hall '-P 4 2 3'
_cell_length_a 3.8792
_cell_length_b 3.8792
_cell_length_c 3.8792
_cell_angle_alpha 90.00
_cell_angle_beta 90.00
_cell_angle_gamma 90.00
loop_
_atom_site_label
_atom_site_type_symbol
_atom_site_fract_x
_atom_site_fract_y
_atom_site_fract_z
In1 In 0.0000 0.0000 0.0000
Co1 Co 0.0000 0.5000 0.5000
B1 B 0.5000 0.5000 0.5000
# magnetization = 1.0 μB/cell
# electronic total energy = -6.225 eV/atom
# formation energy = -79 meV/atom
# polymorph energy (0 for the lowest one) = 0 meV per atom
# volume = 58 Å³ per cell

---

# Li2AgSbSe4 PBE-GGA optimized geometry
data_Li2AgSbSe4
_space_group_name_H-M_alt 'I -4'
_space_group_IT_number 82
_cell_length_a 6.0283
_cell_length_b 6.0283
_cell_length_c 11.8568
_cell_angle_alpha 90.00
_cell_angle_beta 90.00
_cell_angle_gamma 90.00
loop_
_space_group_symop_operation_xyz
'x,y,z'
'y,-x,-z'
'-x,-y,z'
'-y,x,-z'
'x+1/2,y+1/2,z+1/2'
'y+1/2,-x+1/2,-z+1/2'
'-x+1/2,-y+1/2,z+1/2'
'-y+1/2,x+1/2,-z+1/2'
loop_
_atom_site_label
_atom_site_type_symbol
_atom_site_fract_x
_atom_site_fract_y
_atom_site_fract_z
Li1 Li 0.0000 0.0000 0.0000
Li2 Li 0.0000 0.5000 0.2500
Ag1 Ag 0.0000 0.0000 0.5000
Sb1 Sb 0.0000 0.5000 0.7500
Se1 Se 0.2362 0.7498 0.8741
# magnetization = 0.0 μB/cell
# electronic total energy = -3.641 eV/atom
# volume = 431 Å³ per cell

---

# Tl3RuC PBE-GGA optimized geometry
data_Tl3RuC
_space_group_name_H-M_alt 'P m -3 m'
_space_group_IT_number 221
_space_group_name_Hall '-P 4 2 3'
_cell_length_a 5.2687
_cell_length_b 5.2687
_cell_length_c 5.2687
_cell_angle_alpha 90.00
_cell_angle_beta 90.00
_cell_angle_gamma 90.00
loop_
_atom_site_label
_atom_site_type_symbol
_atom_site_fract_x
_atom_site_fract_y
_atom_site_fract_z
Tl1 Tl 0.0000 0.0000 0.5000
Ru1 Ru 0.0000 0.0000 0.0000
C1 C 0.5000 0.5000 0.5000
# magnetization = 2.5 μB/cell
# electronic total energy = -3.640 eV/atom
# formation energy = 1480 meV/atom
# polymorph energy (0 for the lowest one) = 0 meV per atom
# volume = 146 Å³ per cell

---

# GdY2Te PBE-GGA optimized geometry
data_GdY2Te
_space_group_name_H-M_alt 'P 4/m m m'
_space_group_IT_number 123
_space_group_name_Hall '-P 4 2'
_cell_length_a 3.8911
_cell_length_b 3.8911
_cell_length_c 7.8220
_cell_angle_alpha 90.00
_cell_angle_beta 90.00
_cell_angle_gamma 90.00
loop_
_atom_site_label
_atom_site_type_symbol
_atom_site_fract_x
_atom_site_fract_y
_atom_site_fract_z
Gd1 Gd 0.0000 0.0000 0.0000
Y1 Y 0.5000 0.5000 0.2769
Te1 Te 0.0000 0.0000 0.5000
# magnetization = 7.8 μB/cell
# electronic total energy = -8.107 eV/atom
# volume = 118 Å³ per cell

---

# AgHPd3 PBE-GGA optimized geometry
data_AgHPd3
_space_group_name_H-M_alt 'R 3 m'
_space_group_IT_number 160
_space_group_name_Hall 'R 3 -2"'
_cell_length_a 7.5411
_cell_length_b 7.5411
_cell_length_c 4.5602
_cell_angle_alpha 90.00
_cell_angle_beta 90.00
_cell_angle_gamma 120.00
loop_
_atom_site_label
_atom_site_type_symbol
_atom_site_fract_x
_atom_site_fract_y
_atom_site_fract_z
Ag1 Ag 0.0000 0.0000 0.0000
H1 H 0.0000 0.0000 0.5570
Pd1 Pd 0.2024 0.4048 0.1681
# magnetization = 0.0 μB/cell
# electronic total energy = -4.183 eV/atom
# polymorph energy (0 for the lowest one) = 245 meV per atom
# volume = 225 Å³ per cell

---

# Sn2BiCl8 PBE-GGA optimized geometry
data_Sn2BiCl8
_space_group_name_H-M_alt 'C 1 2/m 1'
_space_group_IT_number 12
_cell_length_a 21.4162
_cell_length_b 3.9080
_cell_length_c 9.1023
_cell_angle_alpha 90.00
_cell_angle_beta 97.68
_cell_angle_gamma 90.00
loop_
_space_group_symop_operation_xyz
'x,y,z'
'-x,-y,-z'
'-x,y,-z'
'x,-y,z'
'x+1/2,y+1/2,z'
'-x+1/2,-y+1/2,-z'
'-x+1/2,y+1/2,-z'
'x+1/2,-y+1/2,z'
loop_
_atom_site_label
_atom_site_type_symbol
_atom_site_fract_x
_atom_site_fract_y
_atom_site_fract_z
Sn1 Sn 0.1651 0.0000 0.3752
Bi1 Bi 0.0000 0.5000 0.0000
Cl1 Cl 0.0214 0.0000 0.8013
Cl2 Cl 0.1021 0.5000 0.4954
Cl3 Cl 0.1250 0.5000 0.1129
Cl4 Cl 0.2364 0.0000 0.6470
# magnetization = 0.0 μB/cell
# electronic total energy = -3.305 eV/atom
# polymorph energy (0 for the lowest one) = 16 meV per atom
# volume = 755 Å³ per cell

---

# HgOs3Se PBE-GGA optimized geometry
data_HgOs3Se
_space_group_name_H-M_alt 'P m -3 m'
_space_group_IT_number 221
_space_group_name_Hall '-P 4 2 3'
_cell_length_a 4.5625
_cell_length_b 4.5625
_cell_length_c 4.5625
_cell_angle_alpha 90.00
_cell_angle_beta 90.00
_cell_angle_gamma 90.00
loop_
_atom_site_label
_atom_site_type_symbol
_atom_site_fract_x
_atom_site_fract_y
_atom_site_fract_z
Hg1 Hg 0.0000 0.0000 0.0000
Os1 Os 0.0000 0.5000 0.5000
Se1 Se 0.5000 0.5000 0.5000
# magnetization = 0.0 μB/cell
# electronic total energy = -5.729 eV/atom
# polymorph energy (0 for the lowest one) = 0 meV per atom
# volume = 95 Å³ per cell